First-principles (GGA-PBE) data for a relaxed TiAlSCl2 crystal, as listed in Alexandria.

Properties
Raw formation energy in eV per atom: -0.780
Space-group type: No. 123
Uncorrected energy in Ry/atom: -0.343
Distance to the lowest polymorph of the same formula in eV per atom: 0.0000

a = 4.9194 Å, b = 4.9194 Å, c = 4.7644 Å
α = 90.00°, β = 90.00°, γ = 90.00°
With the nearest neighbours (Å) after each atom.
Positions (direct):
Ti (0.0000, 0.0000, 0.0000)  2 S 2.38, 4 Cl 2.46
Al (0.5000, 0.5000, 0.5000)  8 Cl 3.42, 4 S 3.48
S (0.0000, 0.0000, 0.5000)  2 Ti 2.38
Cl (0.0000, 0.5000, 0.0000)  2 Ti 2.46
Cl (0.5000, 0.0000, 0.0000)  2 Ti 2.46